The following is a PBE-GGA calculation of a geometry-optimized La6Sn2IrN structure, from Alexandria via LeMat-Bulk.

Output
Uncorrected energy (eV per cell): -62.1
Crystal system: tetragonal
Magnetization (μB per formula unit): 0.000

abc: 7.560 7.561 7.558
angles: 59.98 59.98 89.98
Fractional positions:
La 0.262 0.738 0.000
La 0.738 0.262 0.000
La 0.739 0.739 0.522
La 0.738 0.738 0.000
La 0.262 0.262 0.000
La 0.261 0.261 0.478
N 0.500 0.500 0.000
Sn 0.750 0.250 0.500
Sn 0.250 0.750 0.500
Ir 0.000 0.000 0.000